1.
A relaxed LaMo2Cl crystal. Source: Alexandria via LeMat-Bulk, functional GGA-PBE.

Results
The total magnetization is 0.0 μB/f.u. The value obtained for the formation energy (no corrections) is 0.221 eV per atom. Its energy above the most stable polymorph in this dataset is 38.73 kJ per mole of atoms. As for the total energy: -6.888 eV/atom.

```
LaMo2Cl
1.0
4.298 0.000 0.000
-2.158 6.012 0.007
-0.017 0.940 3.235
Cl La Mo
1 1 2
direct
0.000 0.500 0.500
0.500 0.500 0.000
0.000 0.000 0.000
0.500 0.000 0.500
```

2.
A relaxed LaMoCl2 crystal. Source: Alexandria via LeMat-Bulk, functional GGA-PBE.

Results
The total magnetization is 3.5 μB/f.u. The value obtained for the formation energy (no corrections) is -0.277 eV per atom. Its energy above the most stable polymorph in this dataset is 34.50 kJ per mole of atoms. As for the total energy: -5.140 eV/atom.

```
LaMoCl2
1.0
4.601 0.000 0.000
0.000 4.601 0.000
0.000 0.000 4.155
Mo Cl La
1 2 1
direct
0.000 0.500 0.500
0.000 0.000 0.000
0.500 0.500 0.000
0.500 0.000 0.500
```

3.
A relaxed LaMo2Cl crystal. Source: Alexandria via LeMat-Bulk, functional GGA-PBE.

Results
The total magnetization is 0.0 μB/f.u. The value obtained for the formation energy (no corrections) is 0.300 eV per atom. Its energy above the most stable polymorph in this dataset is 46.30 kJ per mole of atoms. As for the total energy: -6.809 eV/atom.

```
LaMo2Cl
1.0
5.644 0.001 -0.002
1.597 5.413 0.002
-2.634 -4.026 2.951
Cl La Mo
1 1 2
direct
0.534 0.534 0.000
0.264 0.764 0.500
0.943 0.943 0.000
0.758 0.258 0.500
```

4.
A relaxed LaMoCl2 crystal. Source: Alexandria via LeMat-Bulk, functional GGA-PBE.

Results
The total magnetization is 3.3 μB/f.u. The value obtained for the formation energy (no corrections) is -0.230 eV per atom. Its energy above the most stable polymorph in this dataset is 39.02 kJ per mole of atoms. As for the total energy: -5.093 eV/atom.

```
LaMoCl2
1.0
6.212 0.001 0.000
3.558 5.092 0.000
-4.885 -2.547 2.871
Mo Cl La
1 2 1
direct
0.750 0.250 0.500
0.000 0.000 0.000
0.250 0.750 0.500
0.500 0.500 0.000
```

5.
A relaxed LaMoCl2 crystal. Source: Alexandria via LeMat-Bulk, functional GGA-PBE.

Results
The total magnetization is 0.0 μB/f.u. The value obtained for the formation energy (no corrections) is -0.393 eV per atom. Its energy above the most stable polymorph in this dataset is 23.27 kJ per mole of atoms. As for the total energy: -5.256 eV/atom.

```
LaMoCl2
1.0
1.899 0.000 9.268
-0.949 1.645 9.268
-0.949 -1.645 9.268
Mo Cl La
1 2 1
direct
0.000 0.000 0.000
0.913 0.913 0.913
0.087 0.087 0.087
0.500 0.500 0.500
```

6.
A relaxed LaMo3Cl crystal. Source: Alexandria via LeMat-Bulk, functional GGA-PBE.

Results
The total magnetization is 2.1 μB/f.u. The value obtained for the formation energy (no corrections) is 0.870 eV per atom. Its energy above the most stable polymorph in this dataset is 0.00 kJ per mole of atoms. As for the total energy: -6.984 eV/atom.

```
LaMo3Cl
1.0
4.613 0.000 0.000
0.000 4.613 0.000
0.000 0.000 4.613
Mo Cl La
3 1 1
direct
0.000 0.500 0.000
0.000 0.000 0.500
0.500 0.000 0.000
0.000 0.000 0.000
0.500 0.500 0.500
```

7.
A relaxed LaMo2Cl crystal. Source: Alexandria via LeMat-Bulk, functional GGA-PBE.

Results
The total magnetization is 0.0 μB/f.u. The value obtained for the formation energy (no corrections) is 0.660 eV per atom. Its energy above the most stable polymorph in this dataset is 81.05 kJ per mole of atoms. As for the total energy: -6.449 eV/atom.

```
LaMo2Cl
1.0
5.957 0.002 0.000
-3.570 4.769 0.000
0.000 0.000 2.920
Cl La Mo
1 1 2
direct
0.500 0.000 0.500
0.000 0.500 0.500
0.000 0.000 0.000
0.500 0.500 0.000
```

8.
A relaxed LaMo2Cl crystal. Source: Alexandria via LeMat-Bulk, functional GGA-PBE.

Results
The total magnetization is 0.0 μB/f.u. The value obtained for the formation energy (no corrections) is 0.531 eV per atom. Its energy above the most stable polymorph in this dataset is 68.56 kJ per mole of atoms. As for the total energy: -6.579 eV/atom.

```
LaMo2Cl
1.0
-0.114 2.704 -2.056
-4.173 -2.036 -2.447
-3.393 2.607 3.617
Cl La Mo
1 1 2
direct
0.500 0.500 0.250
0.500 0.500 0.750
0.000 0.000 0.941
0.000 0.000 0.559
```

9.
A relaxed LaMo2Cl crystal. Source: Alexandria via LeMat-Bulk, functional GGA-PBE.

Results
The total magnetization is 0.0 μB/f.u. The value obtained for the formation energy (no corrections) is 0.748 eV per atom. Its energy above the most stable polymorph in this dataset is 89.54 kJ per mole of atoms. As for the total energy: -6.361 eV/atom.

```
LaMo2Cl
1.0
-1.518 -2.582 -0.852
2.075 1.225 -1.973
6.448 -5.004 3.677
Cl La Mo
1 1 2
direct
0.500 0.500 0.250
0.500 0.500 0.750
0.000 0.000 0.013
0.000 0.000 0.487
```

10.
A relaxed LaMo2Cl crystal. Source: Alexandria via LeMat-Bulk, functional GGA-PBE.

Results
The total magnetization is 0.0 μB/f.u. The value obtained for the formation energy (no corrections) is 0.144 eV per atom. Its energy above the most stable polymorph in this dataset is 31.22 kJ per mole of atoms. As for the total energy: -6.966 eV/atom.

```
LaMo2Cl
1.0
-5.148 -2.548 1.576
1.443 -1.194 2.782
-1.212 3.820 2.216
Cl La Mo
1 1 2
direct
0.500 0.250 0.250
0.500 0.750 0.750
0.000 0.001 0.939
0.000 0.499 0.561
```

11.
A relaxed LaMoCl2 crystal. Source: Alexandria via LeMat-Bulk, functional GGA-PBE.

Results
The total magnetization is 1.0 μB/f.u. The value obtained for the formation energy (no corrections) is -0.171 eV per atom. Its energy above the most stable polymorph in this dataset is 44.69 kJ per mole of atoms. As for the total energy: -5.034 eV/atom.

```
LaMoCl2
1.0
-0.998 -1.400 2.974
3.160 1.213 -0.585
-2.538 8.022 2.925
Mo Cl La
1 2 1
direct
0.500 0.500 0.750
0.000 0.000 0.967
0.000 0.000 0.533
0.500 0.500 0.250
```

12.
A relaxed La2MoCl crystal. Source: Alexandria via LeMat-Bulk, functional GGA-PBE.

Results
The total magnetization is 0.2 μB/f.u. The value obtained for the formation energy (no corrections) is -0.462 eV per atom. Its energy above the most stable polymorph in this dataset is 2.39 kJ per mole of atoms. As for the total energy: -6.095 eV/atom.

```
La2MoCl
1.0
3.581 -0.029 0.000
-0.718 3.508 0.000
0.000 0.000 8.400
Cl La Mo
1 2 1
direct
0.500 0.500 0.750
0.000 0.000 0.031
0.000 0.000 0.469
0.500 0.500 0.250
```

13.
A relaxed LaMo2Cl crystal. Source: Alexandria via LeMat-Bulk, functional GGA-PBE.

Results
The total magnetization is 0.0 μB/f.u. The value obtained for the formation energy (no corrections) is 1.129 eV per atom. Its energy above the most stable polymorph in this dataset is 126.35 kJ per mole of atoms. As for the total energy: -5.980 eV/atom.

```
LaMo2Cl
1.0
0.000 3.345 3.345
3.345 0.000 3.345
3.345 3.345 0.000
Mo Cl La
2 1 1
direct
0.250 0.250 0.250
0.750 0.750 0.750
0.000 0.000 0.000
0.500 0.500 0.500
```

14.
A relaxed LaMoCl2 crystal. Source: Alexandria via LeMat-Bulk, functional GGA-PBE.

Results
The total magnetization is 5.0 μB/f.u. The value obtained for the formation energy (no corrections) is -0.192 eV per atom. Its energy above the most stable polymorph in this dataset is 42.68 kJ per mole of atoms. As for the total energy: -5.055 eV/atom.

```
LaMoCl2
1.0
3.717 0.000 0.000
0.000 3.716 0.000
0.000 0.000 7.084
Mo Cl La
1 2 1
direct
0.500 0.500 0.750
0.000 0.000 0.033
0.000 0.000 0.467
0.500 0.500 0.250
```

15.
A relaxed LaMo2Cl crystal. Source: Alexandria via LeMat-Bulk, functional GGA-PBE.

Results
The total magnetization is 0.0 μB/f.u. The value obtained for the formation energy (no corrections) is 0.246 eV per atom. Its energy above the most stable polymorph in this dataset is 41.10 kJ per mole of atoms. As for the total energy: -6.863 eV/atom.

```
LaMo2Cl
1.0
-2.439 5.174 0.939
-1.242 -1.203 3.405
3.234 1.231 1.615
Cl La Mo
1 1 2
direct
0.500 0.500 0.000
0.500 0.000 0.500
0.000 0.000 0.000
0.000 0.500 0.500
```

16.
A relaxed La2MoCl crystal. Source: Alexandria via LeMat-Bulk, functional GGA-PBE.

Results
The total magnetization is 0.0 μB/f.u. The value obtained for the formation energy (no corrections) is -0.456 eV per atom. Its energy above the most stable polymorph in this dataset is 3.02 kJ per mole of atoms. As for the total energy: -6.089 eV/atom.

```
La2MoCl
1.0
-2.807 0.928 1.925
-1.964 0.133 -2.928
-1.989 -8.028 0.971
Cl La Mo
1 2 1
direct
0.500 0.500 0.750
0.000 0.000 0.029
0.000 0.000 0.471
0.500 0.500 0.250
```

17.
A relaxed LaMoCl2 crystal. Source: Alexandria via LeMat-Bulk, functional GGA-PBE.

Results
The total magnetization is 1.3 μB/f.u. The value obtained for the formation energy (no corrections) is -0.482 eV per atom. Its energy above the most stable polymorph in this dataset is 14.72 kJ per mole of atoms. As for the total energy: -5.345 eV/atom.

```
LaMoCl2
1.0
4.566 0.000 0.000
0.000 3.529 0.001
0.000 1.750 5.560
Mo Cl La
1 2 1
direct
0.500 0.927 0.772
0.000 0.854 0.918
0.500 0.152 0.319
0.000 0.566 0.491
```

18.
A relaxed La2MoCl crystal. Source: Alexandria via LeMat-Bulk, functional GGA-PBE.

Results
The total magnetization is 1.4 μB/f.u. The value obtained for the formation energy (no corrections) is 0.136 eV per atom. Its energy above the most stable polymorph in this dataset is 60.09 kJ per mole of atoms. As for the total energy: -5.497 eV/atom.

```
La2MoCl
1.0
-9.690 -0.083 3.292
-8.234 -2.365 5.598
-8.057 1.134 6.208
Cl La Mo
1 2 1
direct
0.746 0.746 0.746
0.010 0.010 0.010
0.241 0.241 0.241
0.504 0.504 0.504
```

19.
A relaxed La2MoCl crystal. Source: Alexandria via LeMat-Bulk, functional GGA-PBE.

Results
The total magnetization is 0.5 μB/f.u. The value obtained for the formation energy (no corrections) is -0.487 eV per atom. Its energy above the most stable polymorph in this dataset is 0.00 kJ per mole of atoms. As for the total energy: -6.120 eV/atom.

```
La2MoCl
1.0
3.593 -0.496 0.356
1.381 3.354 0.356
2.682 1.541 8.828
Cl La Mo
1 2 1
direct
0.250 0.250 0.250
0.099 0.099 0.968
0.401 0.401 0.532
0.750 0.750 0.750
```

20.
A relaxed LaMo2Cl crystal. Source: Alexandria via LeMat-Bulk, functional GGA-PBE.

Results
The total magnetization is 0.0 μB/f.u. The value obtained for the formation energy (no corrections) is 0.524 eV per atom. Its energy above the most stable polymorph in this dataset is 67.94 kJ per mole of atoms. As for the total energy: -6.585 eV/atom.

```
LaMo2Cl
1.0
-3.327 -1.625 3.068
2.921 -3.610 1.249
1.534 4.547 0.307
Cl La Mo
1 1 2
direct
0.500 0.500 0.000
0.750 0.250 0.500
0.000 0.000 0.000
0.250 0.750 0.500
```